1.
KIn2Os: optimized geometry, GGA-PBE.

It has space group I-4m2 (No. 119), with a = 4.376 Å, b = 4.376 Å, c = 9.471 Å, α = 90.00°, β = 90.00° and γ = 90.00°. The asymmetric unit holds K at (0.000, 0.000, 0.000), In at (0.000, 0.000, 0.500), In at (0.000, 0.500, 0.250) and Os at (0.000, 0.500, 0.750).

The energy relative to the lowest polymorph listed for this composition comes out at 0.6019 eV/atom. For the formation energy, the calculation gives 0.93 eV per atom.

---

2.
MgTaTi2Cd: optimized geometry, GGA-PBE.

It has space group P4/mmm (No. 123), with a = 4.720 Å, b = 4.720 Å, c = 4.867 Å, α = 90.00°, β = 90.00° and γ = 90.00°. The asymmetric unit holds Mg at (0.000, 0.000, 0.000), Ta at (0.000, 0.000, 0.500), Ti at (0.000, 0.500, 0.000) and Cd at (0.500, 0.500, 0.500).

For the formation energy, the calculation gives 1.37 eV per atom.

---

3.
LaTm2Ru: optimized geometry, GGA-PBE.

It has space group R-3m (No. 166, hexagonal axes), with a = 3.7022 Å, b = 3.7022 Å, c = 28.7226 Å, α = 90.00°, β = 90.00° and γ = 120.00°. The asymmetric unit holds La at (0.0000, 0.0000, 0.0000), Tm at (0.0000, 0.0000, 0.2248) and Ru at (0.0000, 0.0000, 0.5000).

The energy relative to the lowest polymorph listed for this composition comes out at 0.2483 eV/atom. For the formation energy, the calculation gives -0.07 eV per atom.

---

4.
Tl2CrW: optimized geometry, GGA-PBE.

It has space group Imm2 (No. 44), with a = 3.013 Å, b = 4.839 Å, c = 11.349 Å, α = 90.00°, β = 90.00° and γ = 90.00°. The asymmetric unit holds Tl at (0.000, 0.000, 0.000), Tl at (0.000, 0.500, 0.215), Cr at (0.000, 0.000, 0.456) and W at (0.000, 0.500, 0.795).

The energy relative to the lowest polymorph listed for this composition comes out at 0.2477 eV/atom. For the formation energy, the calculation gives 0.85 eV per atom.

---

5.
AcErLuSn: optimized geometry, GGA-PBE.

It has space group F-43m (No. 216), with a = 7.779 Å, b = 7.779 Å, c = 7.779 Å, α = 90.00°, β = 90.00° and γ = 90.00°. The asymmetric unit holds Ac at (0.000, 0.000, 0.000), Er at (0.250, 0.250, 0.750), Lu at (0.250, 0.250, 0.250) and Sn at (0.000, 0.000, 0.500).

For the formation energy, the calculation gives -0.11 eV per atom.

---

6.
Ac2LaDy6: optimized geometry, GGA-PBE.

It has space group P-3 (No. 147), with a = 10.0443 Å, b = 10.0443 Å, c = 3.6269 Å, α = 90.00°, β = 90.00° and γ = 120.00°. The asymmetric unit holds Ac at (0.3333, 0.6667, 0.2704), La at (0.0000, 0.0000, 0.5000) and Dy at (0.0198, 0.6749, 0.7760).

For the formation energy, the calculation gives 0.13 eV per atom.

---

7.
RbAl2Ga2: optimized geometry, GGA-PBE.

It has space group P4/mbm (No. 127), with a = 8.672 Å, b = 8.672 Å, c = 2.999 Å, α = 90.00°, β = 90.00° and γ = 90.00°. The asymmetric unit holds Rb at (0.000, 0.000, 0.000), Al at (0.136, 0.364, 0.500) and Ga at (0.145, 0.645, 0.000).

The energy relative to the lowest polymorph listed for this composition comes out at 0.1619 eV/atom. For the formation energy, the calculation gives 0.13 eV per atom.

---

8.
CoSi2Pb: optimized geometry, GGA-PBE.

It has space group Pm (No. 6), with a = 3.562 Å, b = 3.534 Å, c = 6.033 Å, α = 90.00°, β = 107.07° and γ = 90.00°. The asymmetric unit holds Co at (0.000, 0.000, 0.000), Si at (0.126, 0.500, 0.253), Si at (0.626, 0.000, 0.253) and Pb at (0.374, 0.500, 0.748).

As for the formation energy from raw total energies: 0.154 eV/atom.

---

no.,calculated density (g/cm³),M_tot (μB/atom),D(E_F) (states/eV/cell)
1,8.404,0.08,7.73
2,6.332,0.00,10.20
3,8.443,0.00,14.31
4,12.936,0.25,6.52
5,9.706,0.00,26.76
6,8.216,0.00,15.99
7,4.106,0.00,3.22
8,7.372,0.00,2.75